VASP calculation (PBE) on a geometry-optimized CeSm5Ga6 structure.

Computed properties:
DFT formation energy (eV per atom): -0.548
Mass density (g cm⁻³): 7.47
Symmetry: P-1 (2)

```
12
Lattice="5.1539 0.0000 0.0000 -0.0058 7.2944 0.0000 -2.5588 -3.6428 7.7480" Properties=species:S:1:pos:R:3 pbc="T T T"
Ce 0.0000 0.0000 0.0000
Sm -0.0029 3.6472 0.0000
Sm 0.0094 0.0024 5.1418
Sm 0.0068 3.6485 5.2109
Sm 2.5826 0.0031 2.5372
Sm 2.5799 3.6491 2.6062
Ga 0.0040 1.8503 2.6046
Ga 0.0015 5.4483 2.6042
Ga 0.0182 -1.7704 7.7470
Ga 2.5711 5.4220 0.0010
Ga 2.5878 -1.7967 5.1439
Ga 2.5853 1.8012 5.1434
```